1.
Here is a relaxed structure of LaPrCoPt from the Alexandria database. Energies are from PBE-GGA.

The structure in POSCAR format:
```
LaPrCoPt
1.0
7.158 0.000 0.000
0.000 7.158 0.000
0.000 0.000 7.158
La Pr Co Pt
4 4 4 4
Direct
0.000 0.000 0.000
0.000 0.500 0.500
0.500 0.000 0.500
0.500 0.500 0.000
0.000 0.000 0.500
0.000 0.500 0.000
0.500 0.000 0.000
0.500 0.500 0.500
0.250 0.250 0.750
0.250 0.750 0.250
0.750 0.250 0.250
0.750 0.750 0.750
0.250 0.250 0.250
0.250 0.750 0.750
0.750 0.250 0.750
0.750 0.750 0.250
```

Properties
Magnetic moment (μB/cell): 0.0
N(E_F) (states/eV/f.u.): 2.26
Crystal system: cubic
Uncorrected energy (eV/cell): -98.90

2.
Here is a relaxed structure of CoB2As from the Alexandria database. Energies are from PBE-GGA.

The structure in POSCAR format:
```
CoB2As
1.0
4.625 0.000 0.000
0.000 4.625 0.000
0.000 0.000 9.398
Co B As
4 8 4
Direct
0.000 0.000 0.000
0.000 0.500 0.250
0.500 0.000 0.750
0.500 0.500 0.500
0.225 0.250 0.125
0.250 0.725 0.375
0.250 0.775 0.875
0.275 0.250 0.625
0.725 0.750 0.625
0.750 0.225 0.875
0.750 0.275 0.375
0.775 0.750 0.125
0.000 0.000 0.500
0.000 0.500 0.750
0.500 0.000 0.250
0.500 0.500 0.000
```

Properties
Magnetic moment (μB/cell): 0.0
N(E_F) (states/eV/f.u.): 0.13
Crystal system: tetragonal
Uncorrected energy (eV/cell): -92.37

Please write out number 1 again, unchanged.
Here is a relaxed structure of LaPrCoPt from the Alexandria database. Energies are from PBE-GGA.

The structure in POSCAR format:
```
LaPrCoPt
1.0
7.158 0.000 0.000
0.000 7.158 0.000
0.000 0.000 7.158
La Pr Co Pt
4 4 4 4
Direct
0.000 0.000 0.000
0.000 0.500 0.500
0.500 0.000 0.500
0.500 0.500 0.000
0.000 0.000 0.500
0.000 0.500 0.000
0.500 0.000 0.000
0.500 0.500 0.500
0.250 0.250 0.750
0.250 0.750 0.250
0.750 0.250 0.250
0.750 0.750 0.750
0.250 0.250 0.250
0.250 0.750 0.750
0.750 0.250 0.750
0.750 0.750 0.250
```

Properties
Magnetic moment (μB/cell): 0.0
N(E_F) (states/eV/f.u.): 2.26
Crystal system: cubic
Uncorrected energy (eV/cell): -98.90

Which formula does entry 2 have? CoB2As